DFT (GGA-PBE) results for a geometry-optimized In2HgPt2 structure.

Computed properties:
Symmetry = No. 139
ΔH_f (0 K) = -0.14 eV per atom

```
data_In2HgPt2
_cell_length_a 4.305
_cell_length_b 4.305
_cell_length_c 6.693
_cell_angle_alpha 71.24
_cell_angle_beta 71.24
_cell_angle_gamma 90.00
_symmetry_space_group_name_H-M 'P 1'
_symmetry_Int_Tables_number 1
loop_
_symmetry_equiv_pos_as_xyz
'x,y,z'
loop_
_atom_site_label
_atom_site_type_symbol
_atom_site_fract_x
_atom_site_fract_y
_atom_site_fract_z
_atom_site_occupancy
In1 In 0.250 0.750 0.500 1
Pt1 Pt 0.391 0.391 0.219 1
Hg1 Hg 0.000 0.000 0.000 1
Pt2 Pt 0.609 0.609 0.781 1
In2 In 0.750 0.250 0.500 1
```